{"formula": "CrMo2F", "functional": "GGA+U", "state": "relaxed", "cell": [[0.000, 3.025, 3.025], [3.025, 0.000, 3.025], [3.025, 3.025, 0.000]], "species": ["Cr", "Mo", "Mo", "F"], "frac_coords": [[0.500, 0.500, 0.500], [0.250, 0.250, 0.250], [0.750, 0.750, 0.750], [0.000, 0.000, 0.000]], "dft_energy_ev_per_atom": -4.33, "sg": "Fm-3m", "total_magnetization_mub_per_fu": 0.0, "crystal_system": "cubic"}